# 1
A plane-wave DFT calculation with GGA-PBE was carried out for CeTcAs2 after structural relaxation.

a b c (Å): 4.0786 4.0786 9.8807
angles (deg): 90.00 90.00 90.00
Fractional positions:
1 Ce 0.2500 0.2500 0.2344
2 Ce 0.7500 0.7500 0.7656
3 Tc 0.2500 0.7500 0.5000
4 Tc 0.7500 0.2500 0.5000
5 As 0.2500 0.2500 0.6492
6 As 0.2500 0.7500 0.0000
7 As 0.7500 0.2500 0.0000
8 As 0.7500 0.7500 0.3508

## Properties
Formation energy from the elements, eV/atom: -0.75
Offset from the most stable computed form, kJ per mole of atoms: 1.7
E, eV/atom: -7.15
Space-group type: No. 129


# 2
A plane-wave DFT calculation with GGA-PBE was carried out for CeTc3As3 after structural relaxation.

a b c (Å): 6.7549 6.7549 6.7549
angles (deg): 90.00 90.00 90.00
Fractional positions:
1 Ce 0.0000 0.0000 0.0000
2 Ce 0.5000 0.5000 0.5000
3 Tc 0.0000 0.2500 0.5000
4 Tc 0.0000 0.7500 0.5000
5 Tc 0.2500 0.5000 0.0000
6 Tc 0.5000 0.0000 0.2500
7 Tc 0.5000 0.0000 0.7500
8 Tc 0.7500 0.5000 0.0000
9 As 0.0000 0.5000 0.2500
10 As 0.0000 0.5000 0.7500
11 As 0.2500 0.0000 0.5000
12 As 0.5000 0.2500 0.0000
13 As 0.5000 0.7500 0.0000
14 As 0.7500 0.0000 0.5000

## Properties
Formation energy from the elements, eV/atom: 0.11
E, eV/atom: -7.18
Space-group type: No. 223


- The highest formation energy from the elements belongs to which entry?
  CeTc3As3


- formation energy from the elements of number 2 (CeTc3As3)?
  0.11 eV/atom


- E of number 2 (CeTc3As3)?
  -7.18 eV/atom